Entry from Alexandria: a relaxed structure of LiTm2Hg (PBE).

Values from the calculation:
Formation enthalpy at 0 K: -215 meV per atom
Final energy: -3.0051 eV per atom
DOS(E_F): 15.78 states/eV/cell
Excess energy over the best structure of this formula in the dataset: 0.014 eV per atom

Cell: 7.2859 7.2859 7.2859 Å, 90.00 90.00 90.00°
Fractional coordinates of all 16 atoms:
Li 0.0000 0.0000 0.0000
Li 0.0000 0.5000 0.5000
Li 0.5000 0.0000 0.5000
Li 0.5000 0.5000 0.0000
Tm 0.2500 0.2500 0.2500
Tm 0.2500 0.2500 0.7500
Tm 0.2500 0.7500 0.2500
Tm 0.2500 0.7500 0.7500
Tm 0.7500 0.2500 0.2500
Tm 0.7500 0.2500 0.7500
Tm 0.7500 0.7500 0.2500
Tm 0.7500 0.7500 0.7500
Hg 0.0000 0.0000 0.5000
Hg 0.0000 0.5000 0.0000
Hg 0.5000 0.0000 0.0000
Hg 0.5000 0.5000 0.5000

Entry from Alexandria: a relaxed structure of Zr3P (PBE).

Values from the calculation:
Formation enthalpy at 0 K: -434 meV per atom
Final energy: -8.1972 eV per atom
DOS(E_F): 10.55 states/eV/cell
Excess energy over the best structure of this formula in the dataset: 0.429 eV per atom

Cell: 9.7706 3.3794 5.1051 Å, 90.00 105.78 90.00°
Fractional coordinates of all 8 atoms:
Zr 0.0000 0.0000 0.0000
Zr 0.2154 0.0000 0.7149
Zr 0.2846 0.5000 0.2851
Zr 0.5000 0.5000 0.0000
Zr 0.7154 0.5000 0.7149
Zr 0.7846 0.0000 0.2851
P 0.0000 0.5000 0.5000
P 0.5000 0.0000 0.5000

Entry from Alexandria: a relaxed structure of PuNiGe2 (PBE).

Values from the calculation:
Formation enthalpy at 0 K: -450 meV per atom
Final energy: -7.7871 eV per atom
DOS(E_F): 44.97 states/eV/cell

Cell: 4.1689 16.9218 4.1593 Å, 90.00 90.00 90.00°
Fractional coordinates of all 16 atoms:
Pu 0.0000 0.1446 0.0000
Pu 0.0000 0.8554 0.0000
Pu 0.5000 0.3554 0.0000
Pu 0.5000 0.6446 0.0000
Ni 0.0000 0.4265 0.5000
Ni 0.0000 0.5735 0.5000
Ni 0.5000 0.0735 0.5000
Ni 0.5000 0.9265 0.5000
Ge 0.0000 0.0000 0.5000
Ge 0.0000 0.2910 0.5000
Ge 0.0000 0.5000 0.0000
Ge 0.0000 0.7090 0.5000
Ge 0.5000 0.0000 0.0000
Ge 0.5000 0.2090 0.5000
Ge 0.5000 0.5000 0.5000
Ge 0.5000 0.7910 0.5000

Entry from Alexandria: a relaxed structure of Zr4SiSe (PBE).

Values from the calculation:
Formation energy (no corrections): 0.2391 eV/atom
Final energy: -6.9443 eV per atom
DOS(E_F): 5.31 states/eV/cell

Cell: 5.6890 5.6890 5.6890 Å, 60.00 60.00 60.00°
Fractional coordinates of all 6 atoms:
Zr 0.3762 0.3762 0.3762
Zr 0.3762 0.3762 0.8715
Zr 0.3762 0.8715 0.3762
Zr 0.8715 0.3762 0.3762
Si 0.7500 0.7500 0.7500
Se 0.0000 0.0000 0.0000

Entry from Alexandria: a relaxed structure of CuSn2Ir2 (PBE).

Values from the calculation:
Formation enthalpy at 0 K: 111 meV per atom
Final energy: -5.8536 eV per atom
DOS(E_F): 3.55 states/eV/cell
Excess energy over the best structure of this formula in the dataset: 0.112 eV per atom

Cell: 7.7354 7.7354 3.0099 Å, 90.00 90.00 90.00°
Fractional coordinates of all 10 atoms:
Cu 0.0000 0.0000 0.0000
Cu 0.5000 0.5000 0.0000
Sn 0.1578 0.3422 0.0000
Sn 0.3422 0.8422 0.0000
Sn 0.6578 0.1578 0.0000
Sn 0.8422 0.6578 0.0000
Ir 0.1397 0.6397 0.5000
Ir 0.3603 0.1397 0.5000
Ir 0.6397 0.8603 0.5000
Ir 0.8603 0.3603 0.5000

Entry from Alexandria: a relaxed structure of DyYMn2 (PBE).

Values from the calculation:
Formation enthalpy at 0 K: 205 meV per atom
Final energy: -7.1461 eV per atom
DOS(E_F): 4.53 states/eV/cell
Excess energy over the best structure of this formula in the dataset: 0.000 eV per atom

Cell: 4.9535 4.9535 3.6110 Å, 90.00 90.00 90.00°
Fractional coordinates of all 4 atoms:
Dy 0.0000 0.0000 0.0000
Y 0.5000 0.5000 0.0000
Mn 0.0000 0.5000 0.5000
Mn 0.5000 0.0000 0.5000

Entry from Alexandria: a relaxed structure of GdPaRePd (PBE).

Values from the calculation:
Formation enthalpy at 0 K: -214 meV per atom
Final energy: -10.5181 eV per atom
DOS(E_F): 15.19 states/eV/cell

Cell: 6.9649 6.9649 6.9649 Å, 90.00 90.00 90.00°
Fractional coordinates of all 16 atoms:
Gd 0.0000 0.0000 0.0000
Gd 0.0000 0.5000 0.5000
Gd 0.5000 0.0000 0.5000
Gd 0.5000 0.5000 0.0000
Pa 0.0000 0.0000 0.5000
Pa 0.0000 0.5000 0.0000
Pa 0.5000 0.0000 0.0000
Pa 0.5000 0.5000 0.5000
Re 0.2500 0.2500 0.2500
Re 0.2500 0.7500 0.7500
Re 0.7500 0.2500 0.7500
Re 0.7500 0.7500 0.2500
Pd 0.2500 0.2500 0.7500
Pd 0.2500 0.7500 0.2500
Pd 0.7500 0.2500 0.2500
Pd 0.7500 0.7500 0.7500

Entry from Alexandria: a relaxed structure of CeSm3Dy2Er6 (PBE).

Values from the calculation:
Formation enthalpy at 0 K: 34 meV per atom
Final energy: -4.6888 eV per atom
DOS(E_F): 17.93 states/eV/cell

Cell: 6.1476 6.1476 11.7027 Å, 95.02 95.02 119.98°
Fractional coordinates of all 12 atoms:
Ce 0.0000 0.0000 0.0000
Sm 0.1677 0.8323 0.5000
Sm 0.5000 0.5000 0.5000
Sm 0.8323 0.1677 0.5000
Dy 0.3333 0.6667 0.0000
Dy 0.6667 0.3333 0.0000
Er 0.0829 0.4139 0.2478
Er 0.2482 0.2482 0.7521
Er 0.4139 0.0829 0.2478
Er 0.5861 0.9171 0.7522
Er 0.7518 0.7518 0.2479
Er 0.9171 0.5861 0.7522

Entry from Alexandria: a relaxed structure of Na2TlP3H7N3O8 (PBE).

Values from the calculation:
Final energy: -5.8809 eV per atom
DOS(E_F): 0.00 states/eV/cell

Cell: 8.1237 8.1514 8.7590 Å, 76.99 82.20 76.05°
Fractional coordinates of all 48 atoms:
Na 0.0723 0.0009 0.1653
Na 0.1496 0.1508 0.4968
Na 0.8504 0.8492 0.5032
Na 0.9277 0.9991 0.8347
Tl 0.3579 0.2838 0.0596
Tl 0.6421 0.7162 0.9404
P 0.2156 0.5846 0.3625
P 0.2431 0.7158 0.6476
P 0.4424 0.8299 0.3483
P 0.5576 0.1701 0.6517
P 0.7569 0.2842 0.3524
P 0.7844 0.4154 0.6375
H 0.0031 0.3042 0.8866
H 0.0763 0.6496 0.9486
H 0.2432 0.4375 0.6199
H 0.2607 0.8405 0.8921
H 0.2823 0.0339 0.8371
H 0.4705 0.2820 0.4042
H 0.4943 0.5710 0.2679
H 0.5057 0.4290 0.7321
H 0.5295 0.7180 0.5958
H 0.7177 0.9661 0.1629
H 0.7393 0.1595 0.1079
H 0.7568 0.5625 0.3801
H 0.9237 0.3504 0.0514
H 0.9969 0.6958 0.1134
N 0.2093 0.5632 0.5601
N 0.3896 0.6669 0.2851
N 0.4165 0.7824 0.5476
N 0.5835 0.2176 0.4524
N 0.6104 0.3331 0.7149
N 0.7907 0.4368 0.4399
O 0.0292 0.2952 0.9960
O 0.0595 0.7162 0.3034
O 0.0924 0.8670 0.6272
O 0.2260 0.9550 0.9205
O 0.2496 0.4031 0.3307
O 0.2901 0.6297 0.8141
O 0.3156 0.9956 0.2921
O 0.3684 0.1831 0.6970
O 0.6316 0.8169 0.3030
O 0.6844 0.0044 0.7079
O 0.7099 0.3703 0.1859
O 0.7504 0.5969 0.6693
O 0.7740 0.0450 0.0795
O 0.9076 0.1330 0.3728
O 0.9405 0.2838 0.6966
O 0.9708 0.7048 0.0040

Entry from Alexandria: a relaxed structure of HfTaTiNb (PBE).

Values from the calculation:
Formation enthalpy at 0 K: 43 meV per atom
Final energy: -9.8997 eV per atom
DOS(E_F): 5.56 states/eV/cell
Excess energy over the best structure of this formula in the dataset: 0.000 eV per atom

Cell: 3.3365 3.3365 6.8261 Å, 90.00 90.00 90.00°
Fractional coordinates of all 4 atoms:
Hf 0.0000 0.0000 0.0000
Ta 0.5000 0.5000 0.2721
Ti 0.5000 0.5000 0.7185
Nb 0.0000 0.0000 0.4988

Entry from Alexandria: a relaxed structure of Be2CuAu4 (PBE).

Values from the calculation:
Formation enthalpy at 0 K: -26 meV per atom
Final energy: -3.5481 eV per atom
DOS(E_F): 2.28 states/eV/cell

Cell: 8.1533 8.1533 8.1533 Å, 28.53 28.53 28.53°
Fractional coordinates of all 7 atoms:
Be 0.0993 0.0993 0.0993
Be 0.9007 0.9007 0.9007
Cu 0.0000 0.0000 0.0000
Au 0.2036 0.2036 0.2036
Au 0.3884 0.3884 0.3884
Au 0.6116 0.6116 0.6116
Au 0.7964 0.7964 0.7964

Entry from Alexandria: a relaxed structure of KVTeC2 (PBE).

Values from the calculation:
Formation energy (no corrections): 2.9849 eV/atom
Final energy: -3.3762 eV per atom
DOS(E_F): 5.67 states/eV/cell

Cell: 4.4436 4.4436 5.8452 Å, 90.00 90.00 90.00°
Fractional coordinates of all 5 atoms:
K 0.0000 0.0000 0.0000
V 0.5000 0.5000 0.0000
Te 0.0000 0.0000 0.5000
C 0.0000 0.5000 0.5000
C 0.5000 0.0000 0.5000

Entry from Alexandria: a relaxed structure of TbIn9Pd2 (PBE).

Values from the calculation:
Formation enthalpy at 0 K: -171 meV per atom
Final energy: -3.4760 eV per atom
DOS(E_F): 8.42 states/eV/cell

Cell: 9.7060 9.7060 9.7060 Å, 97.62 97.62 137.30°
Fractional coordinates of all 24 atoms:
Tb 0.3750 0.6250 0.7500
Tb 0.6250 0.3750 0.2500
In 0.0905 0.5425 0.3065
In 0.0905 0.7840 0.5479
In 0.1250 0.8750 0.2500
In 0.2160 0.2640 0.3065
In 0.2160 0.9095 0.9521
In 0.2640 0.2160 0.8065
In 0.2640 0.4575 0.0479
In 0.4575 0.2640 0.5479
In 0.4575 0.9095 0.1935
In 0.5425 0.0905 0.8065
In 0.5425 0.7360 0.4521
In 0.7360 0.5425 0.9521
In 0.7360 0.7840 0.1935
In 0.7840 0.0905 0.0479
In 0.7840 0.7360 0.6935
In 0.8750 0.1250 0.7500
In 0.9095 0.2160 0.4521
In 0.9095 0.4575 0.6935
Pd 0.0000 0.0000 0.0000
Pd 0.0000 0.0000 0.5000
Pd 0.0000 0.5000 0.0000
Pd 0.5000 0.0000 0.5000

Entry from Alexandria: a relaxed structure of Ce4PrSi4 (PBE).

Values from the calculation:
Formation energy (no corrections): -0.3756 eV/atom
Final energy: -5.9542 eV per atom
DOS(E_F): 36.79 states/eV/cell

Cell: 8.8344 8.8344 6.0310 Å, 90.00 90.00 90.00°
Fractional coordinates of all 18 atoms:
Ce 0.0609 0.6368 0.0898
Ce 0.1368 0.9391 0.5898
Ce 0.3632 0.5609 0.5898
Ce 0.4391 0.8632 0.0898
Ce 0.5609 0.1368 0.9102
Ce 0.6368 0.4391 0.4102
Ce 0.8632 0.0609 0.4102
Ce 0.9391 0.3632 0.9102
Pr 0.2500 0.2500 0.2500
Pr 0.7500 0.7500 0.7500
Si 0.0331 0.6164 0.5918
Si 0.1164 0.9669 0.0918
Si 0.3836 0.5331 0.0918
Si 0.4669 0.8836 0.5918
Si 0.5331 0.1164 0.4082
Si 0.6164 0.4669 0.9082
Si 0.8836 0.0331 0.9082
Si 0.9669 0.3836 0.4082

Entry from Alexandria: a relaxed structure of TaCdS2Cl (PBE).

Values from the calculation:
Formation energy (no corrections): -0.4467 eV/atom
Final energy: -5.0206 eV per atom
DOS(E_F): 2.83 states/eV/cell
Excess energy over the best structure of this formula in the dataset: 0.000 eV per atom

Cell: 4.8225 4.8225 4.9125 Å, 90.00 90.00 90.00°
Fractional coordinates of all 5 atoms:
Ta 0.0000 0.0000 0.0000
Cd 0.5000 0.5000 0.5000
S 0.0000 0.5000 0.0000
S 0.5000 0.0000 0.0000
Cl 0.0000 0.0000 0.5000

Entry from Alexandria: a relaxed structure of LiY3H3 (PBE).

Values from the calculation:
Final energy: -4.7318 eV per atom
DOS(E_F): 8.70 states/eV/cell

Cell: 6.3369 6.3369 6.3369 Å, 90.00 90.00 90.00°
Fractional coordinates of all 14 atoms:
Li 0.0000 0.0000 0.0000
Li 0.5000 0.5000 0.5000
Y 0.0000 0.2500 0.5000
Y 0.0000 0.7500 0.5000
Y 0.2500 0.5000 0.0000
Y 0.5000 0.0000 0.2500
Y 0.5000 0.0000 0.7500
Y 0.7500 0.5000 0.0000
H 0.0000 0.5000 0.2500
H 0.0000 0.5000 0.7500
H 0.2500 0.0000 0.5000
H 0.5000 0.2500 0.0000
H 0.5000 0.7500 0.0000
H 0.7500 0.0000 0.5000

Entry from Alexandria: a relaxed structure of Cu2GeS (PBE).

Values from the calculation:
Formation energy (no corrections): 0.3406 eV/atom
Final energy: -3.8937 eV per atom
DOS(E_F): 6.87 states/eV/cell
Excess energy over the best structure of this formula in the dataset: 0.237 eV per atom

Cell: 6.2257 6.2257 6.2257 Å, 90.00 90.00 90.00°
Fractional coordinates of all 16 atoms:
Cu 0.2500 0.2500 0.2500
Cu 0.2500 0.2500 0.7500
Cu 0.2500 0.7500 0.2500
Cu 0.2500 0.7500 0.7500
Cu 0.7500 0.2500 0.2500
Cu 0.7500 0.2500 0.7500
Cu 0.7500 0.7500 0.2500
Cu 0.7500 0.7500 0.7500
Ge 0.0000 0.0000 0.0000
Ge 0.0000 0.5000 0.5000
Ge 0.5000 0.0000 0.5000
Ge 0.5000 0.5000 0.0000
S 0.0000 0.0000 0.5000
S 0.0000 0.5000 0.0000
S 0.5000 0.0000 0.0000
S 0.5000 0.5000 0.5000

Entry from Alexandria: a relaxed structure of Tb3PuIn12 (PBE).

Values from the calculation:
Formation enthalpy at 0 K: -375 meV per atom
Final energy: -4.1928 eV per atom
DOS(E_F): 18.46 states/eV/cell

Cell: 4.6568 4.6568 18.6866 Å, 90.00 90.00 90.00°
Fractional coordinates of all 16 atoms:
Tb 0.0000 0.0000 0.0000
Tb 0.0000 0.0000 0.2486
Tb 0.0000 0.0000 0.7514
Pu 0.0000 0.0000 0.5000
In 0.0000 0.5000 0.1248
In 0.0000 0.5000 0.3753
In 0.0000 0.5000 0.6247
In 0.0000 0.5000 0.8752
In 0.5000 0.0000 0.1248
In 0.5000 0.0000 0.3753
In 0.5000 0.0000 0.6247
In 0.5000 0.0000 0.8752
In 0.5000 0.5000 0.0000
In 0.5000 0.5000 0.2506
In 0.5000 0.5000 0.5000
In 0.5000 0.5000 0.7494

Entry from Alexandria: a relaxed structure of RbCaPt2 (PBE).

Values from the calculation:
Formation enthalpy at 0 K: -137 meV per atom
Final energy: -3.8994 eV per atom
DOS(E_F): 3.89 states/eV/cell
Excess energy over the best structure of this formula in the dataset: 0.000 eV per atom

Cell: 5.3041 5.3041 18.9816 Å, 90.00 90.00 90.00°
Fractional coordinates of all 16 atoms:
Rb 0.0000 0.0000 0.0000
Rb 0.0000 0.5000 0.2500
Rb 0.5000 0.0000 0.7500
Rb 0.5000 0.5000 0.5000
Ca 0.0000 0.0000 0.5000
Ca 0.0000 0.5000 0.7500
Ca 0.5000 0.0000 0.2500
Ca 0.5000 0.5000 0.0000
Pt 0.0385 0.2500 0.6250
Pt 0.2500 0.5385 0.8750
Pt 0.2500 0.9615 0.3750
Pt 0.4615 0.2500 0.1250
Pt 0.5385 0.7500 0.1250
Pt 0.7500 0.0385 0.3750
Pt 0.7500 0.4615 0.8750
Pt 0.9615 0.7500 0.6250

Entry from Alexandria: a relaxed structure of CdSbSe2 (PBE).

Values from the calculation:
Formation energy (no corrections): 0.2770 eV/atom
Final energy: -2.7246 eV per atom
DOS(E_F): 13.63 states/eV/cell
Excess energy over the best structure of this formula in the dataset: 0.545 eV per atom

Cell: 7.2054 7.2054 7.2054 Å, 90.00 90.00 90.00°
Fractional coordinates of all 16 atoms:
Cd 0.0000 0.0000 0.0000
Cd 0.0000 0.5000 0.5000
Cd 0.5000 0.0000 0.5000
Cd 0.5000 0.5000 0.0000
Sb 0.2500 0.2500 0.2500
Sb 0.2500 0.7500 0.7500
Sb 0.7500 0.2500 0.7500
Sb 0.7500 0.7500 0.2500
Se 0.0000 0.0000 0.5000
Se 0.0000 0.5000 0.0000
Se 0.2500 0.2500 0.7500
Se 0.2500 0.7500 0.2500
Se 0.5000 0.0000 0.0000
Se 0.5000 0.5000 0.5000
Se 0.7500 0.2500 0.2500
Se 0.7500 0.7500 0.7500

Entry from Alexandria: a relaxed structure of Pm4U (PBE).

Values from the calculation:
Formation enthalpy at 0 K: 730 meV per atom
Final energy: -5.3280 eV per atom
DOS(E_F): 12.37 states/eV/cell

Cell: 5.6528 5.6528 5.6528 Å, 90.00 90.00 90.00°
Fractional coordinates of all 5 atoms:
Pm 0.0000 0.0000 0.0000
Pm 0.0000 0.5000 0.5000
Pm 0.5000 0.0000 0.5000
Pm 0.5000 0.5000 0.0000
U 0.5000 0.5000 0.5000

Entry from Alexandria: a relaxed structure of HgTe3 (PBE).

Values from the calculation:
Formation energy (no corrections): 0.1215 eV/atom
Final energy: -2.3102 eV per atom
DOS(E_F): 4.26 states/eV/cell

Cell: 3.0374 3.0374 15.1528 Å, 90.00 90.00 90.00°
Fractional coordinates of all 4 atoms:
Hg 0.0000 0.0000 0.0000
Te 0.0000 0.0000 0.5000
Te 0.5000 0.5000 0.2316
Te 0.5000 0.5000 0.7684

Entry from Alexandria: a relaxed structure of Rb2Ge2Cl (PBE).

Values from the calculation:
Formation energy (no corrections): -0.6681 eV/atom
Final energy: -3.2714 eV per atom
DOS(E_F): 3.58 states/eV/cell
Excess energy over the best structure of this formula in the dataset: 0.000 eV per atom

Cell: 3.8841 3.8841 20.4346 Å, 90.00 90.00 90.00°
Fractional coordinates of all 10 atoms:
Rb 0.0000 0.0000 0.0963
Rb 0.0000 0.0000 0.9037
Rb 0.5000 0.5000 0.4037
Rb 0.5000 0.5000 0.5963
Ge 0.0000 0.5000 0.2500
Ge 0.0000 0.5000 0.7500
Ge 0.5000 0.0000 0.2500
Ge 0.5000 0.0000 0.7500
Cl 0.0000 0.0000 0.5000
Cl 0.5000 0.5000 0.0000